Here is an optimized crystal structure of Pa2BeRu3 from Alexandria. Energies are from PBE.

The space group is R-3m (No. 166, hexagonal axes) and the conventional cell measures 5.6252, 5.6252 and 10.9886 Å, with angles of 90.00, 90.00 and 120.00 degrees. The asymmetric unit holds Pa at (0.0000, 0.0000, 0.1331), Be at (0.0000, 0.0000, 0.5000) and Ru at (0.0000, 0.5000, 0.0000).

For the total magnetic moment, the calculation gives 0.0 μB per formula unit. The energy relative to the elements comes out at -0.4878 eV/atom.



Here is an optimized crystal structure of Pa2Mn2Tc from Alexandria. Energies are from PBE.

The space group is Immm (No. 71) and the conventional cell measures 4.559, 4.837 and 8.047 Å, with angles of 90.00, 90.00 and 90.00 degrees. The asymmetric unit holds Pa at (0.000, 0.000, 0.206), Mn at (0.244, 0.500, 0.000) and Tc at (0.000, 0.500, 0.500).

For the total magnetic moment, the calculation gives 0.0 μB per formula unit. The energy relative to the elements comes out at -0.0706 eV/atom.



Here is an optimized crystal structure of EuThPb2 from Alexandria. Energies are from PBE.

The space group is P4/mmm (No. 123) and the conventional cell measures 3.631, 3.631 and 9.304 Å, with angles of 90.00, 90.00 and 90.00 degrees. The asymmetric unit holds Eu at (0.000, 0.000, 0.000), Th at (0.000, 0.000, 0.500) and Pb at (0.500, 0.500, 0.250).

The energy relative to the lowest polymorph listed for this composition is 0.0 meV per atom. For the total magnetic moment, the calculation gives 6.9 μB per formula unit. The energy relative to the elements comes out at -0.4106 eV/atom.